## a
Below is a geometry-optimized Er5TmTh structure, with properties calculated at the PBE level.

As for the magnetic moment: 0.0000 μB/atom. As for the density of states at the Fermi level: 1.685 states/eV/atom. Its crystal system is monoclinic.

The space group is C2/c (No. 15) and the conventional cell measures 6.076, 17.366 and 8.536 Å, with angles of 90.00, 101.44 and 90.00 degrees. Symmetry generates all atoms from Er at (0.000, 0.149, 0.250), Er at (0.114, 0.345, 0.962), Er at (0.200, 0.187, 0.646), Tm at (0.000, 0.486, 0.250) and Th at (0.000, 0.000, 0.000).

=====

## b
Below is a geometry-optimized Er5TmTh structure, with properties calculated at the PBE level.

As for the magnetic moment: 0.0016 μB/atom. As for the density of states at the Fermi level: 1.333 states/eV/atom. Its crystal system is orthorhombic.

The space group is Imm2 (No. 44) and the conventional cell measures 6.505, 6.517 and 10.366 Å, with angles of 90.00, 90.00 and 90.00 degrees. Symmetry generates all atoms from Er at (0.000, 0.000, 0.000), Er at (0.000, 0.272, 0.555), Er at (0.228, 0.500, 0.250), Tm at (0.000, 0.500, 0.901) and Th at (0.000, 0.000, 0.294).

=====

Bottom line: a, by a margin of 0.099 eV/atom.

=====

## a
Below is a geometry-optimized Er4Tm2Th structure, with properties calculated at the PBE level.

As for the magnetic moment: 0.0000 μB/atom. As for the density of states at the Fermi level: 1.309 states/eV/atom. Its crystal system is tetragonal.

The space group is I4/mmm (No. 139) and the conventional cell measures 4.354, 4.354 and 23.642 Å, with angles of 90.00, 90.00 and 90.00 degrees. Symmetry generates all atoms from Er at (0.000, 0.000, 0.140), Er at (0.000, 0.500, 0.250), Tm at (0.000, 0.000, 0.419) and Th at (0.000, 0.000, 0.000).

=====

## b
Below is a geometry-optimized Er4Tm2Th structure, with properties calculated at the PBE level.

As for the magnetic moment: 0.0000 μB/atom. As for the density of states at the Fermi level: 1.748 states/eV/atom. Its crystal system is trigonal.

The space group is R3m (No. 160, hexagonal axes) and the conventional cell measures 3.5576, 3.5576 and 59.2177 Å, with angles of 90.00, 90.00 and 120.00 degrees. Symmetry generates all atoms from Er at (0.0000, 0.0000, 0.0000), Er at (0.0000, 0.0000, 0.0938), Er at (0.0000, 0.0000, 0.4745), Er at (0.0000, 0.0000, 0.5719), Tm at (0.0000, 0.0000, 0.2860), Tm at (0.0000, 0.0000, 0.3802) and Th at (0.0000, 0.0000, 0.1899).

=====

Bottom line: b, by a margin of 0.294 eV/atom.

=====

## a
Below is a geometry-optimized Er6Tm12Th structure, with properties calculated at the PBE level.

As for the magnetic moment: 0.0000 μB/atom. As for the density of states at the Fermi level: 1.858 states/eV/atom. Its crystal system is trigonal.

The space group is R-3m (No. 166, hexagonal axes) and the conventional cell measures 13.1549, 13.1549 and 12.0601 Å, with angles of 90.00, 90.00 and 120.00 degrees. Symmetry generates all atoms from Er at (0.0372, 0.5186, 0.1270), Tm at (0.0000, 0.2565, 0.0000), Tm at (0.0896, 0.1793, 0.7561) and Th at (0.0000, 0.0000, 0.5000).

=====

## b
Below is a geometry-optimized Er6Tm12Th structure, with properties calculated at the PBE level.

As for the magnetic moment: 0.0000 μB/atom. As for the density of states at the Fermi level: 1.619 states/eV/atom. Its crystal system is trigonal.

The space group is R-3 (No. 148, hexagonal axes) and the conventional cell measures 11.7257, 11.7257 and 14.9674 Å, with angles of 90.00, 90.00 and 120.00 degrees. Symmetry generates all atoms from Er at (0.0090, 0.4221, 0.1763), Tm at (0.0246, 0.8414, 0.6899), Tm at (0.0407, 0.8532, 0.9148) and Th at (0.0000, 0.0000, 0.5000).

=====

Bottom line: b, by a margin of 0.070 eV/atom.

=====

## a
Below is a geometry-optimized Er2Tm8Th structure, with properties calculated at the PBE level.

As for the magnetic moment: 0.0000 μB/atom. As for the density of states at the Fermi level: 1.488 states/eV/atom. Its crystal system is orthorhombic.

The space group is Immm (No. 71) and the conventional cell measures 5.344, 8.082 and 15.837 Å, with angles of 90.00, 90.00 and 90.00 degrees. Symmetry generates all atoms from Er at (0.000, 0.000, 0.200), Tm at (0.000, 0.207, 0.000), Tm at (0.000, 0.292, 0.356), Tm at (0.000, 0.500, 0.159) and Th at (0.000, 0.000, 0.500).

=====

## b
Below is a geometry-optimized Er2Tm8Th structure, with properties calculated at the PBE level.

As for the magnetic moment: 0.0000 μB/atom. As for the density of states at the Fermi level: 1.534 states/eV/atom. Its crystal system is monoclinic.

The space group is C2/m (No. 12) and the conventional cell measures 17.872, 4.958 and 7.836 Å, with angles of 90.00, 105.27 and 90.00 degrees. Symmetry generates all atoms from Er at (0.228, 0.000, 0.136), Tm at (0.045, 0.000, 0.231), Tm at (0.091, 0.500, 0.954), Tm at (0.136, 0.000, 0.680), Tm at (0.181, 0.500, 0.408) and Th at (0.000, 0.500, 0.500).

=====

Bottom line: b, by a margin of 0.091 eV/atom.

=====

## a
Below is a geometry-optimized ErTm6Th3 structure, with properties calculated at the PBE level.

As for the magnetic moment: 0.0000 μB/atom. As for the density of states at the Fermi level: 1.582 states/eV/atom. Its crystal system is monoclinic.

The space group is P2_1/m (No. 11) and the conventional cell measures 13.020, 3.488 and 14.486 Å, with angles of 90.00, 108.51 and 90.00 degrees. Symmetry generates all atoms from Er at (0.080, 0.250, 0.196), Tm at (0.141, 0.750, 0.014), Tm at (0.155, 0.250, 0.809), Tm at (0.215, 0.250, 0.601), Tm at (0.258, 0.750, 0.402), Tm at (0.339, 0.250, 0.224), Tm at (0.392, 0.750, 0.790), Th at (0.005, 0.250, 0.395), Th at (0.385, 0.250, 0.005) and Th at (0.465, 0.250, 0.590).

=====

## b
Below is a geometry-optimized ErTm6Th3 structure, with properties calculated at the PBE level.

As for the magnetic moment: 0.0000 μB/atom. As for the density of states at the Fermi level: 1.889 states/eV/atom. Its crystal system is trigonal.

The space group is R-3 (No. 148, hexagonal axes) and the conventional cell measures 9.7455, 9.7455 and 11.8699 Å, with angles of 90.00, 90.00 and 120.00 degrees. Symmetry generates all atoms from Er at (0.0000, 0.0000, 0.0000), Tm at (0.0005, 0.3326, 0.9180), Th at (0.0000, 0.0000, 0.2489) and Th at (0.0000, 0.0000, 0.5000).

=====

Bottom line: a, by a margin of 0.294 eV/atom.

=====

## a
Below is a geometry-optimized ErTm5Th4 structure, with properties calculated at the PBE level.

As for the magnetic moment: 0.0000 μB/atom. As for the density of states at the Fermi level: 1.396 states/eV/atom. Its crystal system is orthorhombic.

The space group is Pmmn (No. 59, origin choice 2) and the conventional cell measures 6.646, 11.654 and 8.521 Å, with angles of 90.00, 90.00 and 90.00 degrees. Symmetry generates all atoms from Er at (0.250, 0.250, 0.046), Tm at (0.009, 0.033, 0.316), Tm at (0.250, 0.750, 0.708), Th at (0.002, 0.750, 0.359) and Th at (0.250, 0.604, 0.031).

=====

## b
Below is a geometry-optimized ErTm5Th4 structure, with properties calculated at the PBE level.

As for the magnetic moment: 0.0000 μB/atom. As for the density of states at the Fermi level: 1.331 states/eV/atom. Its crystal system is triclinic.

The space group is P-1 (No. 2) and the conventional cell measures 3.451, 9.075 and 10.585 Å, with angles of 94.87, 90.03 and 100.88 degrees. Symmetry generates all atoms from Er at (0.000, 0.000, 0.000), Tm at (0.000, 0.000, 0.500), Tm at (0.312, 0.623, 0.408), Tm at (0.349, 0.702, 0.759), Th at (0.183, 0.365, 0.916) and Th at (0.461, 0.923, 0.248).

=====

Bottom line: b, by a margin of 0.170 eV/atom.

=====

## a
Below is a geometry-optimized Er2TmTh6 structure, with properties calculated at the PBE level.

As for the magnetic moment: 0.0000 μB/atom. As for the density of states at the Fermi level: 1.354 states/eV/atom. Its crystal system is trigonal.

The space group is R3m (No. 160, hexagonal axes) and the conventional cell measures 6.9823, 6.9823 and 23.1189 Å, with angles of 90.00, 90.00 and 120.00 degrees. Symmetry generates all atoms from Er at (0.0000, 0.0000, 0.0000), Er at (0.0000, 0.0000, 0.1692), Tm at (0.0000, 0.0000, 0.7502), Th at (0.0164, 0.5082, 0.9760) and Th at (0.1729, 0.3459, 0.5296).

=====

## b
Below is a geometry-optimized Er2TmTh6 structure, with properties calculated at the PBE level.

As for the magnetic moment: 0.0000 μB/atom. As for the density of states at the Fermi level: 1.676 states/eV/atom. Its crystal system is monoclinic.

The space group is C2/c (No. 15) and the conventional cell measures 13.047, 11.687 and 9.210 Å, with angles of 90.00, 125.44 and 90.00 degrees. Symmetry generates all atoms from Er at (0.167, 0.126, 0.417), Tm at (0.000, 0.374, 0.250), Th at (0.061, 0.124, 0.977), Th at (0.106, 0.377, 0.689) and Th at (0.228, 0.376, 0.143).

=====

Bottom line: b, by a margin of 0.331 eV/atom.

=====

## a
Below is a geometry-optimized Er4Tm6Th structure, with properties calculated at the PBE level.

As for the magnetic moment: 0.0000 μB/atom. As for the density of states at the Fermi level: 1.653 states/eV/atom. Its crystal system is orthorhombic.

The space group is Cmcm (No. 63) and the conventional cell measures 5.584, 9.631 and 25.256 Å, with angles of 90.00, 90.00 and 90.00 degrees. Symmetry generates all atoms from Er at (0.000, 0.004, 0.122), Er at (0.000, 0.334, 0.041), Tm at (0.000, 0.000, 0.000), Tm at (0.000, 0.004, 0.250), Tm at (0.000, 0.330, 0.601), Tm at (0.000, 0.337, 0.182) and Th at (0.000, 0.330, 0.750).

=====

## b
Below is a geometry-optimized Er4Tm6Th structure, with properties calculated at the PBE level.

As for the magnetic moment: 0.0000 μB/atom. As for the density of states at the Fermi level: 1.609 states/eV/atom. Its crystal system is tetragonal.

The space group is I-42m (No. 121) and the conventional cell measures 7.566, 7.566 and 12.825 Å, with angles of 90.00, 90.00 and 90.00 degrees. Symmetry generates all atoms from Er at (0.170, 0.170, 0.425), Tm at (0.000, 0.500, 0.000), Tm at (0.247, 0.247, 0.183) and Th at (0.000, 0.000, 0.000).

=====

Bottom line: a, by a margin of 0.350 eV/atom.

=====

## a
Below is a geometry-optimized ErTmTh2 structure, with properties calculated at the PBE level.

As for the magnetic moment: 0.0000 μB/atom. As for the density of states at the Fermi level: 1.567 states/eV/atom. Its crystal system is trigonal.

The space group is R3m (No. 160, hexagonal axes) and the conventional cell measures 3.5428, 3.5428 and 34.5767 Å, with angles of 90.00, 90.00 and 120.00 degrees. Symmetry generates all atoms from Er at (0.0000, 0.0000, 0.0000), Tm at (0.0000, 0.0000, 0.1699), Th at (0.0000, 0.0000, 0.4189) and Th at (0.0000, 0.0000, 0.5846).

=====

## b
Below is a geometry-optimized ErTmTh2 structure, with properties calculated at the PBE level.

As for the magnetic moment: 0.0000 μB/atom. As for the density of states at the Fermi level: 1.459 states/eV/atom. Its crystal system is trigonal.

The space group is R-3m (No. 166, hexagonal axes) and the conventional cell measures 3.5521, 3.5521 and 34.2464 Å, with angles of 90.00, 90.00 and 120.00 degrees. Symmetry generates all atoms from Er at (0.0000, 0.0000, 0.0000), Tm at (0.0000, 0.0000, 0.5000) and Th at (0.0000, 0.0000, 0.2499).

=====

## c
Below is a geometry-optimized ErTmTh2 structure, with properties calculated at the PBE level.

As for the magnetic moment: 0.0000 μB/atom. As for the density of states at the Fermi level: 1.169 states/eV/atom. Its crystal system is cubic.

The space group is Fm-3m (No. 225) and the conventional cell measures 7.944, 7.944 and 7.944 Å, with angles of 90.00, 90.00 and 90.00 degrees. Symmetry generates all atoms from Er at (0.000, 0.000, 0.000), Tm at (0.000, 0.000, 0.500) and Th at (0.250, 0.250, 0.250).

=====

Bottom line: b, by a margin of 0.008 eV/atom.

=====

## a
Below is a geometry-optimized Er5Tm4Th structure, with properties calculated at the PBE level.

As for the magnetic moment: 0.0000 μB/atom. As for the density of states at the Fermi level: 1.347 states/eV/atom. Its crystal system is tetragonal.

The space group is I4 (No. 79) and the conventional cell measures 10.057, 10.057 and 6.308 Å, with angles of 90.00, 90.00 and 90.00 degrees. Symmetry generates all atoms from Er at (0.000, 0.000, 0.000), Er at (0.142, 0.236, 0.742), Tm at (0.053, 0.348, 0.242) and Th at (0.000, 0.000, 0.467).

=====

## b
Below is a geometry-optimized Er5Tm4Th structure, with properties calculated at the PBE level.

As for the magnetic moment: 0.0000 μB/atom. As for the density of states at the Fermi level: 1.544 states/eV/atom. Its crystal system is monoclinic.

The space group is C2/m (No. 12) and the conventional cell measures 11.560, 5.329 and 10.339 Å, with angles of 90.00, 97.60 and 90.00 degrees. Symmetry generates all atoms from Er at (0.000, 0.000, 0.000), Er at (0.180, 0.500, 0.449), Er at (0.232, 0.500, 0.103), Tm at (0.057, 0.500, 0.771), Tm at (0.157, 0.000, 0.261) and Th at (0.000, 0.000, 0.500).

=====

Bottom line: b, by a margin of 0.152 eV/atom.